Computed, not measured: a relaxed Rb2FeAsO crystal at the GGA+U level of DFT.

The structure in CIF format:
```
data_Rb2FeAsO
_chemical_formula_sum 'Rb2 Fe1 As1 O1'
_symmetry_space_group_name_H-M 'P 1'
_symmetry_Int_Tables_number 1
_cell_length_a 6.657
_cell_length_b 6.657
_cell_length_c 4.521
_cell_angle_alpha 90.00
_cell_angle_beta 90.00
_cell_angle_gamma 90.00
loop_
_symmetry_equiv_pos_as_xyz
'x,y,z'
loop_
_atom_site_label
_atom_site_type_symbol
_atom_site_fract_x
_atom_site_fract_y
_atom_site_fract_z
_atom_site_occupancy
Rb1 Rb 0.000 0.500 0.000 1
Rb2 Rb 0.500 0.000 0.000 1
Fe1 Fe 0.000 0.000 0.000 1
As1 As 0.000 0.000 0.500 1
O1 O 0.500 0.500 0.500 1
```

Computed properties:
- space-group type = P4/mmm (123)
- density of states at the Fermi level (states/eV per cell) = 2.034
- total energy (eV/atom) = -3.16